Entry 1:
The following is a GGA-PBEsol calculation of crystalline ZrWCl2O at its relaxed geometry, from Alexandria.

Lattice parameters (Å, degrees): 4.7455 4.7455 5.4706 90.00 90.00 90.00
With the nearest neighbours (Å) after each atom.
Atoms (fractional coordinates):
Zr (0.0000, 0.0000, 0.0000)  4 Cl 2.37
W (0.0000, 0.0000, 0.5000)  2 Zr 2.74
Cl (0.0000, 0.5000, 0.0000)  2 Zr 2.37
Cl (0.5000, 0.0000, 0.0000)  2 Zr 2.37
O (0.5000, 0.5000, 0.5000)  4 W 3.36, 8 Cl 3.62

Values from the calculation:
size of the total moment: 0.483 μB/atom
relative energy among the computed polymorphs: 1009 meV/atom
V: 24.64 Å³ per atom

=====

Entry 2:
The following is a GGA-PBEsol calculation of crystalline Zr2WClO at its relaxed geometry, from Alexandria.

Lattice parameters (Å, degrees): 4.1749 4.1749 4.9563 90.00 90.00 90.00
With the nearest neighbours (Å) after each atom.
Atoms (fractional coordinates):
Zr (0.0000, 0.5000, 0.0000)  2 O 2.09
Zr (0.5000, 0.0000, 0.0000)  2 O 2.09
W (0.0000, 0.0000, 0.5000)  4 Cl 2.95, 8 Zr 3.24
Cl (0.5000, 0.5000, 0.5000)  2 O 2.48
O (0.5000, 0.5000, 0.0000)  4 Zr 2.09

Values from the calculation:
VASP energy: -40.6 eV for the cell shown
size of the total moment: 0.227 μB/atom
V: 17.28 Å³ per atom

=====

Entry 3:
The following is a GGA-PBEsol calculation of crystalline YCl2O at its relaxed geometry, from Alexandria.

Lattice parameters (Å, degrees): 6.4388 6.4388 6.4388 90.00 90.00 90.00
With the nearest neighbours (Å) after each atom.
Atoms (fractional coordinates):
Y (0.0000, 0.0000, 0.0000)  8 Cl 2.79
Y (0.0000, 0.5000, 0.5000)  8 Cl 2.79
Y (0.5000, 0.0000, 0.5000)  8 Cl 2.79
Y (0.5000, 0.5000, 0.0000)  8 Cl 2.79
Cl (0.2500, 0.2500, 0.2500)  4 O 2.79, 4 Y 2.79
Cl (0.2500, 0.2500, 0.7500)  4 Y 2.79, 4 O 2.79
Cl (0.2500, 0.7500, 0.2500)  4 Y 2.79, 4 O 2.79
Cl (0.2500, 0.7500, 0.7500)  4 O 2.79, 4 Y 2.79
Cl (0.7500, 0.2500, 0.2500)  4 Y 2.79, 4 O 2.79
Cl (0.7500, 0.2500, 0.7500)  4 O 2.79, 4 Y 2.79
Cl (0.7500, 0.7500, 0.2500)  4 O 2.79, 4 Y 2.79
Cl (0.7500, 0.7500, 0.7500)  4 Y 2.79, 4 O 2.79
O (0.0000, 0.0000, 0.5000)  8 Cl 2.79
O (0.0000, 0.5000, 0.0000)  8 Cl 2.79
O (0.5000, 0.0000, 0.0000)  8 Cl 2.79
O (0.5000, 0.5000, 0.5000)  8 Cl 2.79

Values from the calculation:
VASP energy: -86.3 eV for the cell shown
size of the total moment: 0.250 μB/atom
V: 16.68 Å³ per atom

=====

Entry 4:
The following is a GGA-PBEsol calculation of crystalline ZnCl2O at its relaxed geometry, from Alexandria.

Lattice parameters (Å, degrees): 6.4742 6.4742 7.6314 90.00 90.00 90.00
With the nearest neighbours (Å) after each atom.
Atoms (fractional coordinates):
Zn (0.0000, 0.0000, 0.0000)  4 Cl 2.28
Zn (0.0000, 0.5000, 0.2500)  4 Cl 2.28
Zn (0.5000, 0.0000, 0.7500)  4 Cl 2.28
Zn (0.5000, 0.5000, 0.5000)  4 Cl 2.28
Cl (0.1990, 0.2500, 0.1250)  2 Zn 2.28
Cl (0.2500, 0.6990, 0.3750)  2 Zn 2.28
Cl (0.2500, 0.8010, 0.8750)  2 Zn 2.28
Cl (0.3010, 0.2500, 0.6250)  2 Zn 2.28
Cl (0.6990, 0.7500, 0.6250)  2 Zn 2.28
Cl (0.7500, 0.1990, 0.8750)  2 Zn 2.28
Cl (0.7500, 0.3010, 0.3750)  2 Zn 2.28
Cl (0.8010, 0.7500, 0.1250)  2 Zn 2.28
O (0.0000, 0.0000, 0.5000)  4 Cl 2.71
O (0.0000, 0.5000, 0.7500)  4 Cl 2.71
O (0.5000, 0.0000, 0.2500)  4 Cl 2.71
O (0.5000, 0.5000, 0.0000)  4 Cl 2.71

Values from the calculation:
VASP energy: -43.9 eV for the cell shown
size of the total moment: 0.500 μB/atom
V: 19.99 Å³ per atom

=====

Entry 5:
The following is a GGA-PBEsol calculation of crystalline Zr3ClO at its relaxed geometry, from Alexandria.

Lattice parameters (Å, degrees): 4.4221 4.4221 4.4221 90.00 90.00 90.00
With the nearest neighbours (Å) after each atom.
Atoms (fractional coordinates):
Zr (0.0000, 0.0000, 0.5000)  2 O 2.21
Zr (0.0000, 0.5000, 0.0000)  2 O 2.21
Zr (0.5000, 0.0000, 0.0000)  2 O 2.21
Cl (0.5000, 0.5000, 0.5000)  12 Zr 3.13
O (0.0000, 0.0000, 0.0000)  6 Zr 2.21

Values from the calculation:
VASP energy: -38.5 eV for the cell shown
size of the total moment: 0.000 μB/atom
V: 17.30 Å³ per atom

=====

Entry 6:
The following is a GGA-PBEsol calculation of crystalline OsCl3 at its relaxed geometry, from Alexandria.

Lattice parameters (Å, degrees): 2.9904 2.9904 8.0968 90.00 90.00 90.00
With the nearest neighbours (Å) after each atom.
Atoms (fractional coordinates):
Os (0.0000, 0.0000, 0.0000)  8 Cl 2.56
Cl (0.0000, 0.0000, 0.5000)  4 Cl 2.99
Cl (0.5000, 0.5000, 0.1786)  4 Os 2.56
Cl (0.5000, 0.5000, 0.8214)  4 Os 2.56

Values from the calculation:
VASP energy: -15.3 eV for the cell shown
size of the total moment: 0.006 μB/atom
V: 18.10 Å³ per atom

=====

Question: Among the records above, which one has the highest V?
Answer: ZrWCl2O

=====

Question: Number 3 is which compound?
Answer: YCl2O